# Ag6HgPd5 | Alexandria via LeMat-Bulk | GGA-PBE | relaxed
data_Ag6HgPd5
_symmetry_space_group_name_H-M 'C 1 2/m 1'
_symmetry_Int_Tables_number 12
_cell_length_a 4.069
_cell_length_b 12.246
_cell_length_c 8.194
_cell_angle_alpha 90.00
_cell_angle_beta 90.23
_cell_angle_gamma 90.00
loop_
_symmetry_equiv_pos_as_xyz
'x,y,z'
'-x,-y,-z'
'-x,y,-z'
'x,-y,z'
'x+1/2,y+1/2,z'
'-x+1/2,-y+1/2,-z'
'-x+1/2,y+1/2,-z'
'x+1/2,-y+1/2,z'
loop_
_atom_site_label
_atom_site_fract_x
_atom_site_fract_y
_atom_site_fract_z
_atom_site_occupancy
Ag1 0.000 0.000 0.241 1
Ag2 0.000 0.331 0.246 1
Hg1 0.000 0.500 0.500 1
Pd1 0.000 0.167 0.000 1
Pd2 0.000 0.167 0.500 1
Pd3 0.000 0.500 0.000 1
# **Energy relative to the elements**: -0.047 eV/atom
# **D(E_F)**: 12.4 states/eV per cell
# **Crystal system**: monoclinic
# **Calculated total energy**: -87.9 eV/cell

# Mg2AgSbAu5 | Alexandria via LeMat-Bulk | GGA-PBE | relaxed
data_Mg2AgSbAu5
_symmetry_space_group_name_H-M 'I 4/m c m'
_symmetry_Int_Tables_number 140
_symmetry_space_group_name_Hall '-I 4 2c'
_cell_length_a 6.860
_cell_length_b 6.860
_cell_length_c 15.798
_cell_angle_alpha 90.00
_cell_angle_beta 90.00
_cell_angle_gamma 90.00
loop_
_atom_site_label
_atom_site_fract_x
_atom_site_fract_y
_atom_site_fract_z
_atom_site_occupancy
Mg1 0.136 0.364 0.000 1
Ag1 0.000 0.500 0.250 1
Sb1 0.000 0.000 0.250 1
Au1 0.000 0.000 0.000 1
Au2 0.177 0.323 0.381 1
# **D(E_F)**: 13.2 states/eV per cell
# **Crystal system**: tetragonal
# **Calculated total energy**: -106.7 eV/cell
# **Formation energy from raw total energies**: -1 kJ/mol of atoms

# AgWAu2 | Alexandria via LeMat-Bulk | GGA-PBE | relaxed
data_AgWAu2
_symmetry_space_group_name_H-M 'C m m m'
_symmetry_Int_Tables_number 65
_symmetry_space_group_name_Hall '-C 2 2'
_cell_length_a 6.355
_cell_length_b 7.955
_cell_length_c 2.754
_cell_angle_alpha 90.00
_cell_angle_beta 90.00
_cell_angle_gamma 90.00
loop_
_atom_site_label
_atom_site_fract_x
_atom_site_fract_y
_atom_site_fract_z
_atom_site_occupancy
Ag1 0.000 0.000 0.000 1
W1 0.000 0.500 0.000 1
Au1 0.250 0.250 0.500 1
# **Energy relative to the elements**: 0.377 eV/atom
# **D(E_F)**: 4.4 states/eV per cell
# **Crystal system**: orthorhombic
# **Calculated total energy**: -41.7 eV/cell
# **Distance to the lowest polymorph of the same formula**: 3.40 kcal/mol of atoms

# SrCa2ErSe4 | Alexandria via LeMat-Bulk | GGA-PBE | relaxed
data_SrCa2ErSe4
_symmetry_space_group_name_H-M 'P 1 2/m 1'
_symmetry_Int_Tables_number 10
_cell_length_a 7.283
_cell_length_b 4.203
_cell_length_c 7.332
_cell_angle_alpha 90.00
_cell_angle_beta 109.29
_cell_angle_gamma 90.00
loop_
_symmetry_equiv_pos_as_xyz
'x,y,z'
'-x,-y,-z'
'-x,y,-z'
'x,-y,z'
loop_
_atom_site_label
_atom_site_fract_x
_atom_site_fract_y
_atom_site_fract_z
_atom_site_occupancy
Sr1 0.000 0.000 0.000 1
Ca1 0.500 0.000 0.500 1
Ca2 0.500 0.500 0.000 1
Er1 0.000 0.500 0.500 1
Se1 0.246 0.000 0.737 1
Se2 0.254 0.500 0.264 1
# **D(E_F)**: 2.5 states/eV per cell
# **Crystal system**: monoclinic
# **Calculated total energy**: -39.6 eV/cell
# **Formation energy from raw total energies**: -186 kJ/mol of atoms

# Mg4IrN4 | Alexandria via LeMat-Bulk | GGA-PBE | relaxed
data_Mg4IrN4
_symmetry_space_group_name_H-M 'P -1'
_symmetry_Int_Tables_number 2
_cell_length_a 5.375
_cell_length_b 5.399
_cell_length_c 8.270
_cell_angle_alpha 74.87
_cell_angle_beta 87.28
_cell_angle_gamma 69.83
loop_
_symmetry_equiv_pos_as_xyz
'x,y,z'
'-x,-y,-z'
loop_
_atom_site_label
_atom_site_fract_x
_atom_site_fract_y
_atom_site_fract_z
_atom_site_occupancy
Mg1 0.233 0.265 0.499 1
Mg2 0.236 0.840 0.280 1
Mg3 0.238 0.050 0.915 1
Mg4 0.248 0.472 0.085 1
Ir1 0.246 0.636 0.707 1
N1 0.003 0.208 0.117 1
N2 0.006 0.402 0.706 1
N3 0.346 0.837 0.517 1
N4 0.480 0.297 0.892 1
# **D(E_F)**: 3.5 states/eV per cell
# **Crystal system**: triclinic
# **Calculated total energy**: -102.4 eV/cell
# **Formation energy from raw total energies**: -28 kJ/mol of atoms

# Pr2ZnAg | Alexandria via LeMat-Bulk | GGA-PBE | relaxed
data_Pr2ZnAg
_symmetry_space_group_name_H-M 'F m -3 m'
_symmetry_Int_Tables_number 225
_symmetry_space_group_name_Hall '-F 4 2 3'
_cell_length_a 7.512
_cell_length_b 7.512
_cell_length_c 7.512
_cell_angle_alpha 90.00
_cell_angle_beta 90.00
_cell_angle_gamma 90.00
loop_
_atom_site_label
_atom_site_fract_x
_atom_site_fract_y
_atom_site_fract_z
_atom_site_occupancy
Pr1 0.250 0.250 0.250 1
Zn1 0.000 0.000 0.000 1
Ag1 0.000 0.000 0.500 1
# **Energy relative to the elements**: -0.264 eV/atom
# **D(E_F)**: 16.8 states/eV per cell
# **Crystal system**: cubic
# **Calculated total energy**: -59.0 eV/cell
# **Distance to the lowest polymorph of the same formula**: 0.43 kcal/mol of atoms